DFT (meta-GGA SCAN) results for a crystal of SiGePd2Pb relaxed with PBEsol.

Computed properties:
- Formation energy (no corrections): 0.127 eV/atom
- Space-group type: P4/mmm (123)

Geometry as CIF:
```
data_SiGePd2Pb
_symmetry_space_group_name_H-M 'P 1'
_symmetry_Int_Tables_number 1
_symmetry_space_group_name_Hall 'P 1'
_cell_length_a 4.612
_cell_length_b 4.612
_cell_length_c 4.747
_cell_angle_alpha 90.00
_cell_angle_beta 90.00
_cell_angle_gamma 90.00
loop_
_atom_site_label
_atom_site_fract_x
_atom_site_fract_y
_atom_site_fract_z
Si1 0.000 0.000 0.000
Ge1 0.000 0.000 0.500
Pd1 0.000 0.500 0.000
Pd2 0.500 0.000 0.000
Pb1 0.500 0.500 0.500
```

***

DFT (meta-GGA SCAN) results for a crystal of Re2SiPt relaxed with PBEsol.

Computed properties:
- Formation energy (no corrections): -0.015 eV/atom
- Space-group type: I-4m2 (119)

Geometry as CIF:
```
data_Re2SiPt
_symmetry_space_group_name_H-M 'P 1'
_symmetry_Int_Tables_number 1
_symmetry_space_group_name_Hall 'P 1'
_cell_length_a 3.873
_cell_length_b 3.873
_cell_length_c 4.644
_cell_angle_alpha 114.64
_cell_angle_beta 114.64
_cell_angle_gamma 90.00
loop_
_atom_site_label
_atom_site_fract_x
_atom_site_fract_y
_atom_site_fract_z
Si1 0.500 0.500 0.000
Pt1 0.250 0.750 0.500
Re1 0.000 0.000 0.000
Re2 0.750 0.250 0.500
```